SrTaCo4: relaxed, PBE.

a b c (Å): 7.044 7.044 7.044
angles (deg): 90.00 90.00 90.00
Space group F-43m (No. 216)
One atom of each set of equivalent atoms:
Sr 0.000 0.000 0.000 x4
Ta 0.250 0.250 0.750 x4
Co 0.124 0.124 0.376 x16

Results
Fermi-level density of states = 7.5 states/eV/f.u.
Magnetic moment = 3.0 μB/f.u.
Energy relative to the elements = 0.352 eV/atom